Crystalline Ac2TmGa4Pt3 at its relaxed geometry. Source: Alexandria via LeMat-Bulk, functional PBE-GGA.

Cell lengths 4.3535, 4.3535, 11.7266 Å; angles 90.00, 90.00, 90.00 degrees
Sites, in units of the cell vectors:
Ac 0.0000 0.5000 0.2296
Ac 0.5000 0.0000 0.7704
Tm 0.0000 0.0000 0.5000
Ga 0.0000 0.0000 0.0000
Ga 0.0000 0.5000 0.6591
Ga 0.5000 0.0000 0.3409
Ga 0.5000 0.5000 0.0000
Pt 0.0000 0.5000 0.8773
Pt 0.5000 0.0000 0.1227
Pt 0.5000 0.5000 0.5000

Properties
raw total energy: -51.73 eV per cell
total magnetization: 0.00 μB/f.u.
DFT formation energy: -85.01 kJ/mol of atoms
DOS(E_F): 0.87 states/eV/atom


Crystalline RbYP2Se8 at its relaxed geometry. Source: Alexandria via LeMat-Bulk, functional PBE-GGA.

Cell lengths 10.4958, 10.4958, 10.4958 Å; angles 36.08, 36.08, 36.08 degrees
Sites, in units of the cell vectors:
Rb 0.0000 0.0000 0.0000
Y 0.5000 0.5000 0.5000
P 0.2432 0.2432 0.2432
P 0.7568 0.7568 0.7568
Se 0.0840 0.4245 0.8240
Se 0.1760 0.9160 0.5755
Se 0.3180 0.3180 0.3180
Se 0.4245 0.8240 0.0840
Se 0.5755 0.1760 0.9160
Se 0.6820 0.6820 0.6820
Se 0.8240 0.0840 0.4245
Se 0.9160 0.5755 0.1760

Properties
raw total energy: -51.88 eV per cell
ΔE_f (raw): -0.4795 eV/atom
total magnetization: 1.75 μB/f.u.
DOS(E_F): 0.92 states/eV/atom


Crystalline LiAu at its relaxed geometry. Source: Alexandria via LeMat-Bulk, functional PBE-GGA.

Cell lengths 9.6125, 7.4463, 6.3960 Å; angles 87.62, 50.71, 41.67 degrees
Sites, in units of the cell vectors:
Li 0.0124 0.7376 0.0124
Li 0.2624 0.9876 0.2624
Li 0.7376 0.0124 0.7376
Li 0.9876 0.2624 0.9876
Au 0.2683 0.2683 0.4817
Au 0.4817 0.4817 0.2683
Au 0.5183 0.5183 0.7317
Au 0.7317 0.7317 0.5183

Properties
raw total energy: -24.46 eV per cell
total magnetization: 0.00 μB/f.u.
DFT formation energy: -44.61 kJ/mol of atoms
DOS(E_F): 0.21 states/eV/atom


Crystalline Cs2LiAu2I6 at its relaxed geometry. Source: Alexandria via LeMat-Bulk, functional PBE-GGA.

Cell lengths 8.8183, 8.8183, 9.3149 Å; angles 117.20, 117.20, 52.68 degrees
Sites, in units of the cell vectors:
Cs 0.2161 0.2161 0.2200
Cs 0.7839 0.7839 0.7800
Li 0.0000 0.0000 0.5000
Au 0.4291 0.4291 0.7291
Au 0.5709 0.5709 0.2709
I 0.1835 0.7134 0.2252
I 0.2461 0.2461 0.6671
I 0.2866 0.8165 0.7748
I 0.7134 0.1835 0.2252
I 0.7539 0.7539 0.3329
I 0.8165 0.2866 0.7748

Properties
raw total energy: -27.91 eV per cell
ΔE_f (raw): -0.7666 eV/atom
total magnetization: 0.00 μB/f.u.
DOS(E_F): 0.48 states/eV/atom


Crystalline Sr2MgUSe6 at its relaxed geometry. Source: Alexandria via LeMat-Bulk, functional PBE-GGA.

Cell lengths 7.0986, 7.6404, 12.3894 Å; angles 90.00, 123.78, 90.00 degrees
Sites, in units of the cell vectors:
Sr 0.2139 0.0888 0.2446
Sr 0.2139 0.4112 0.7446
Sr 0.7861 0.5888 0.2554
Sr 0.7861 0.9112 0.7554
Mg 0.0000 0.0000 0.5000
Mg 0.0000 0.5000 0.0000
U 0.5000 0.0000 0.0000
U 0.5000 0.5000 0.5000
Se 0.1392 0.1910 0.9481
Se 0.1392 0.3090 0.4481
Se 0.2640 0.6970 0.9467
Se 0.2640 0.8030 0.4467
Se 0.3560 0.0228 0.7490
Se 0.3560 0.4772 0.2490
Se 0.6440 0.5228 0.7510
Se 0.6440 0.9772 0.2510
Se 0.7360 0.1970 0.5533
Se 0.7360 0.3030 0.0533
Se 0.8608 0.6910 0.5519
Se 0.8608 0.8090 0.0519

Properties
raw total energy: -103.11 eV per cell
ΔE_f (raw): -1.4401 eV/atom
total magnetization: 0.00 μB/f.u.


Crystalline Tl2HgBr at its relaxed geometry. Source: Alexandria via LeMat-Bulk, functional PBE-GGA.

Cell lengths 6.7060, 6.7060, 6.7060 Å; angles 140.30, 137.65, 59.45 degrees
Sites, in units of the cell vectors:
Tl 0.0000 0.0000 0.0000
Tl 0.7600 0.2600 0.5000
Hg 0.5337 0.5337 0.0000
Br 0.2766 0.7766 0.5000

Properties
raw total energy: -8.04 eV per cell
ΔE_f (raw): -0.3325 eV/atom
total magnetization: 0.00 μB/f.u.
DOS(E_F): 0.35 states/eV/atom
ΔE to the lowest computed polymorph: 0.0277 eV/atom


Crystalline BiSb2AsRh at its relaxed geometry. Source: Alexandria via LeMat-Bulk, functional PBE-GGA.

Cell lengths 5.1704, 5.1704, 5.4846 Å; angles 90.00, 90.00, 90.00 degrees
Sites, in units of the cell vectors:
Bi 0.0000 0.0000 0.0000
Sb 0.0000 0.5000 0.5000
Sb 0.5000 0.0000 0.5000
As 0.0000 0.0000 0.5000
Rh 0.5000 0.5000 0.0000

Properties
raw total energy: -18.84 eV per cell
ΔE_f (raw): 1.0568 eV/atom
total magnetization: 0.00 μB/f.u.
DOS(E_F): 0.92 states/eV/atom


Crystalline Ba2BePb at its relaxed geometry. Source: Alexandria via LeMat-Bulk, functional PBE-GGA.

Cell lengths 5.1155, 4.5817, 6.9306 Å; angles 90.00, 111.63, 90.00 degrees
Sites, in units of the cell vectors:
Ba 0.0000 0.0000 0.0000
Ba 0.2860 0.5000 0.5709
Be 0.6878 0.0000 0.3786
Pb 0.5874 0.5000 0.1742

Properties
raw total energy: -11.48 eV per cell
total magnetization: 0.11 μB/f.u.
DFT formation energy: -4.88 kJ/mol of atoms
DOS(E_F): 1.01 states/eV/atom
ΔE to the lowest computed polymorph: 0.0373 eV/atom


Crystalline Ca2S2N at its relaxed geometry. Source: Alexandria via LeMat-Bulk, functional PBE-GGA.

Cell lengths 5.1602, 5.1602, 5.1602 Å; angles 117.88, 117.88, 93.71 degrees
Sites, in units of the cell vectors:
Ca 0.2500 0.7500 0.5000
Ca 0.7500 0.2500 0.5000
S 0.1839 0.1839 0.0000
S 0.8161 0.8161 0.0000
N 0.5000 0.5000 0.0000

Properties
raw total energy: -23.24 eV per cell
ΔE_f (raw): -0.5314 eV/atom
total magnetization: 0.00 μB/f.u.
DOS(E_F): 0.35 states/eV/atom
ΔE to the lowest computed polymorph: 0.0000 eV/atom


Crystalline ZrPbCl6 at its relaxed geometry. Source: Alexandria via LeMat-Bulk, functional PBE-GGA.

Cell lengths 6.9381, 6.9381, 6.7398 Å; angles 97.66, 97.66, 121.27 degrees
Sites, in units of the cell vectors:
Zr 0.0000 0.0000 0.0000
Pb 0.5000 0.5000 0.5000
Cl 0.0646 0.3558 0.2249
Cl 0.2413 0.2413 0.7819
Cl 0.3558 0.0646 0.2249
Cl 0.6442 0.9354 0.7751
Cl 0.7587 0.7587 0.2181
Cl 0.9354 0.6442 0.7751

Properties
raw total energy: -35.64 eV per cell
ΔE_f (raw): -1.5376 eV/atom
total magnetization: 0.00 μB/f.u.
DOS(E_F): 0.00 states/eV/atom


Crystalline Ba8P3RhI4 at its relaxed geometry. Source: Alexandria via LeMat-Bulk, functional PBE-GGA.

Cell lengths 10.0443, 10.0443, 10.0443 Å; angles 56.09, 56.09, 56.09 degrees
Sites, in units of the cell vectors:
Ba 0.2333 0.2333 0.2333
Ba 0.2361 0.7300 0.7300
Ba 0.2700 0.2700 0.7639
Ba 0.2700 0.7639 0.2700
Ba 0.7300 0.2361 0.7300
Ba 0.7300 0.7300 0.2361
Ba 0.7639 0.2700 0.2700
Ba 0.7667 0.7667 0.7667
P 0.0000 0.0000 0.5000
P 0.0000 0.5000 0.0000
P 0.5000 0.0000 0.0000
Rh 0.5000 0.5000 0.5000
I 0.0000 0.0000 0.0000
I 0.0000 0.5000 0.5000
I 0.5000 0.0000 0.5000
I 0.5000 0.5000 0.0000

Properties
raw total energy: -65.67 eV per cell
ΔE_f (raw): -1.2815 eV/atom
total magnetization: 0.13 μB/f.u.


Crystalline Zr2Tl at its relaxed geometry. Source: Alexandria via LeMat-Bulk, functional PBE-GGA.

Cell lengths 6.8854, 6.8854, 6.8854 Å; angles 90.00, 90.00, 90.00 degrees
Sites, in units of the cell vectors:
Zr 0.1277 0.1277 0.1277
Zr 0.1277 0.3723 0.6277
Zr 0.3723 0.6277 0.1277
Zr 0.3723 0.8723 0.6277
Zr 0.6277 0.1277 0.3723
Zr 0.6277 0.3723 0.8723
Zr 0.8723 0.6277 0.3723
Zr 0.8723 0.8723 0.8723
Tl 0.0000 0.0000 0.5000
Tl 0.0000 0.5000 0.0000
Tl 0.5000 0.0000 0.0000
Tl 0.5000 0.5000 0.5000

Properties
raw total energy: -70.61 eV per cell
total magnetization: 1.14 μB/f.u.
DFT formation energy: 58.24 kJ/mol of atoms
DOS(E_F): 1.61 states/eV/atom